--- w ---
ZnCoAsOs | PBE | optimized geometry

## Properties
Size of the total moment, μB per formula unit: 2.14

Cell: 6.1010 6.1010 6.1010 Å, 90.00 90.00 90.00°
With the nearest neighbours (Å) after each atom.
Space group F-43m (No. 216)
Symmetry-distinct sites (fractional):
Zn 0.0000 0.0000 0.0000  4 As 2.64, 4 Os 2.64
Co 0.0000 0.0000 0.5000  4 As 2.64, 4 Os 2.64
As 0.2500 0.2500 0.2500  4 Co 2.64, 4 Zn 2.64
Os 0.2500 0.2500 0.7500  4 Co 2.64, 4 Zn 2.64


--- x ---
ZnCoAsOs | PBE | optimized geometry

## Properties
Size of the total moment, μB per formula unit: 0.01

Cell: 5.9553 5.9553 5.9553 Å, 90.00 90.00 90.00°
With the nearest neighbours (Å) after each atom.
Space group F-43m (No. 216)
Symmetry-distinct sites (fractional):
Zn 0.0000 0.0000 0.0000  4 Co 2.58, 4 Os 2.58
Co 0.2500 0.2500 0.7500  4 As 2.58, 4 Zn 2.58
As 0.0000 0.0000 0.5000  4 Co 2.58, 4 Os 2.58
Os 0.2500 0.2500 0.2500  4 Zn 2.58, 4 As 2.58


Which one sits at the bottom of the stability order? w does.


--- w ---
ScCoAsPd | PBE | optimized geometry

## Properties
Size of the total moment, μB per formula unit: 0.86

Cell: 6.2315 6.2315 6.2315 Å, 90.00 90.00 90.00°
With the nearest neighbours (Å) after each atom.
Space group F-43m (No. 216)
Symmetry-distinct sites (fractional):
Sc 0.0000 0.0000 0.0000  4 Co 2.70, 4 Pd 2.70
Co 0.2500 0.2500 0.7500  4 As 2.70, 4 Sc 2.70
As 0.0000 0.0000 0.5000  4 Co 2.70, 4 Pd 2.70
Pd 0.2500 0.2500 0.2500  4 As 2.70, 4 Sc 2.70


--- x ---
ScCoAsPd | PBE | optimized geometry

## Properties
Size of the total moment, μB per formula unit: 0.01

Cell: 6.3026 6.3026 6.3026 Å, 90.00 90.00 90.00°
With the nearest neighbours (Å) after each atom.
Space group F-43m (No. 216)
Symmetry-distinct sites (fractional):
Sc 0.0000 0.0000 0.0000  4 As 2.73, 4 Pd 2.73
Co 0.0000 0.0000 0.5000  4 As 2.73, 4 Pd 2.73
As 0.2500 0.2500 0.2500  4 Co 2.73, 4 Sc 2.73
Pd 0.2500 0.2500 0.7500  4 Co 2.73, 4 Sc 2.73


Which one sits at the bottom of the stability order? x does.


--- w ---
CoAsPdW | PBE | optimized geometry

## Properties
Size of the total moment, μB per formula unit: 0.53

Cell: 6.1163 6.1163 6.1163 Å, 90.00 90.00 90.00°
With the nearest neighbours (Å) after each atom.
Space group F-43m (No. 216)
Symmetry-distinct sites (fractional):
Co 0.0000 0.0000 0.0000  4 As 2.65, 4 Pd 2.65
As 0.2500 0.2500 0.7500  4 W 2.65, 4 Co 2.65
Pd 0.2500 0.2500 0.2500  4 W 2.65, 4 Co 2.65
W 0.0000 0.0000 0.5000  4 Pd 2.65, 4 As 2.65


--- x ---
CoAsPdW | PBE | optimized geometry

## Properties
Size of the total moment, μB per formula unit: 0.67

Cell: 6.1698 6.1698 6.1698 Å, 90.00 90.00 90.00°
With the nearest neighbours (Å) after each atom.
Space group F-43m (No. 216)
Symmetry-distinct sites (fractional):
Co 0.0000 0.0000 0.0000  4 As 2.67, 4 W 2.67
As 0.2500 0.2500 0.7500  4 Co 2.67, 4 Pd 2.67
Pd 0.0000 0.0000 0.5000  4 As 2.67, 4 W 2.67
W 0.2500 0.2500 0.2500  4 Co 2.67, 4 Pd 2.67


Which one sits at the bottom of the stability order? x does.


--- w ---
YCoAsPd | PBE | optimized geometry

## Properties
Size of the total moment, μB per formula unit: 0.97

Cell: 6.4747 6.4747 6.4747 Å, 90.00 90.00 90.00°
With the nearest neighbours (Å) after each atom.
Space group F-43m (No. 216)
Symmetry-distinct sites (fractional):
Y 0.0000 0.0000 0.0000  4 Co 2.80, 4 Pd 2.80
Co 0.2500 0.2500 0.7500  4 As 2.80, 4 Y 2.80
As 0.0000 0.0000 0.5000  4 Co 2.80, 4 Pd 2.80
Pd 0.2500 0.2500 0.2500  4 As 2.80, 4 Y 2.80


--- x ---
YCoAsPd | PBE | optimized geometry

## Properties
Size of the total moment, μB per formula unit: 1.55

Cell: 6.5659 6.5659 6.5659 Å, 90.00 90.00 90.00°
With the nearest neighbours (Å) after each atom.
Space group F-43m (No. 216)
Symmetry-distinct sites (fractional):
Y 0.0000 0.0000 0.0000  4 Pd 2.84, 4 As 2.84
Co 0.0000 0.0000 0.5000  4 As 2.84, 4 Pd 2.84
As 0.2500 0.2500 0.2500  4 Co 2.84, 4 Y 2.84
Pd 0.2500 0.2500 0.7500  4 Co 2.84, 4 Y 2.84


Which one sits at the bottom of the stability order? x does.


--- w ---
ScCoAsPt | PBE | optimized geometry

## Properties
Size of the total moment, μB per formula unit: 1.08

Cell: 6.2988 6.2988 6.2988 Å, 90.00 90.00 90.00°
With the nearest neighbours (Å) after each atom.
Space group F-43m (No. 216)
Symmetry-distinct sites (fractional):
Sc 0.0000 0.0000 0.0000  4 Co 2.73, 4 Pt 2.73
Co 0.2500 0.2500 0.7500  4 As 2.73, 4 Sc 2.73
As 0.0000 0.0000 0.5000  4 Pt 2.73, 4 Co 2.73
Pt 0.2500 0.2500 0.2500  4 As 2.73, 4 Sc 2.73


--- x ---
ScCoAsPt | PBE | optimized geometry

## Properties
Size of the total moment, μB per formula unit: 1.61

Cell: 6.3289 6.3289 6.3289 Å, 90.00 90.00 90.00°
With the nearest neighbours (Å) after each atom.
Space group F-43m (No. 216)
Symmetry-distinct sites (fractional):
Sc 0.0000 0.0000 0.0000  4 As 2.74, 4 Pt 2.74
Co 0.0000 0.0000 0.5000  4 As 2.74, 4 Pt 2.74
As 0.2500 0.2500 0.2500  4 Co 2.74, 4 Sc 2.74
Pt 0.2500 0.2500 0.7500  4 Co 2.74, 4 Sc 2.74


Which one sits at the bottom of the stability order? x does.


--- w ---
ZrCoAsPt | PBE | optimized geometry

## Properties
Size of the total moment, μB per formula unit: 0.01

Cell: 6.3944 6.3944 6.3944 Å, 90.00 90.00 90.00°
With the nearest neighbours (Å) after each atom.
Space group F-43m (No. 216)
Symmetry-distinct sites (fractional):
Zr 0.0000 0.0000 0.0000  4 Co 2.77, 4 Pt 2.77
Co 0.2500 0.2500 0.7500  4 Zr 2.77, 4 As 2.77
As 0.0000 0.0000 0.5000  4 Pt 2.77, 4 Co 2.77
Pt 0.2500 0.2500 0.2500  4 Zr 2.77, 4 As 2.77


--- x ---
ZrCoAsPt | PBE | optimized geometry

## Properties
Size of the total moment, μB per formula unit: 1.18

Cell: 6.3769 6.3769 6.3769 Å, 90.00 90.00 90.00°
With the nearest neighbours (Å) after each atom.
Space group F-43m (No. 216)
Symmetry-distinct sites (fractional):
Zr 0.0000 0.0000 0.0000  4 As 2.76, 4 Pt 2.76
Co 0.0000 0.0000 0.5000  4 Pt 2.76, 4 As 2.76
As 0.2500 0.2500 0.2500  4 Co 2.76, 4 Zr 2.76
Pt 0.2500 0.2500 0.7500  4 Zr 2.76, 4 Co 2.76


Which one sits at the bottom of the stability order? w does.